# 1
Computed, not measured: a geometry-optimized Ta2CdNi structure at the PBE-GGA level of DFT. Values from VASP.

Calculated values
- Calculated formation energy: 116 meV per atom
- Uncorrected energy: -7.484 eV/atom

Quantum ESPRESSO input file:
```
&SYSTEM
  ibrav = 0, nat = 4, ntyp = 3
/
ATOMIC_SPECIES
Ta 180.95 Ta.upf
Cd 112.41 Cd.upf
Ni 58.69 Ni.upf
ATOMIC_POSITIONS angstrom
Ta 0.0000 0.0000 0.0000
Ta 1.5098 1.7701 1.6300
Cd 0.0000 0.0000 3.4918
Ni 1.5098 1.7701 5.0554
CELL_PARAMETERS angstrom
3.0196 0.0000 0.0000
0.0000 3.5403 0.0000
0.0000 0.0000 6.3970
```

# 2
Computed, not measured: a geometry-optimized Ba2Rh3 structure at the PBE-GGA level of DFT. Values from VASP.

Calculated values
- Calculated formation energy: -116 meV per atom
- Uncorrected energy: -5.296 eV/atom

Quantum ESPRESSO input file:
```
&SYSTEM
  ibrav = 0, nat = 5, ntyp = 2
/
ATOMIC_SPECIES
Ba 137.33 Ba.upf
Rh 102.91 Rh.upf
ATOMIC_POSITIONS angstrom
Ba 0.0000 2.5926 2.1586
Ba 2.2453 1.2963 7.1072
Rh 0.0000 0.0000 4.6329
Rh 0.0000 2.5926 5.1206
Rh 2.2453 1.2963 4.1451
CELL_PARAMETERS angstrom
4.4905 0.0000 0.0000
-2.2453 3.8889 0.0000
0.0000 0.0000 9.2657
```

Which value of calculated formation energy does entry 2 give? -116 meV per atom

Which formula does entry 2 have? Ba2Rh3

Among the records above, which one has the highest uncorrected energy? Ba2Rh3

uncorrected energy of number 1 (Ta2CdNi)? -7.484 eV/atom